Entry from Alexandria: crystalline DyFe2WO6 at its relaxed geometry (PBE+U).

Unit cell a=5.4121 b=5.4161 c=5.7608 alpha=89.71 beta=62.54 gamma=60.68
Last column: nearest neighbours and their distance in Å.
Space group P1 (No. 1)
Unique sites:
Dy1 0.0000 0.0000 0.0000 (multiplicity 1)  6 O 2.21-2.37
Fe1 0.5806 0.2008 0.6256 (multiplicity 1)  4 O 2.05-2.20
Fe2 0.5879 0.7124 0.1405 (multiplicity 1)  5 O 2.04-2.27
W1 0.9903 0.5069 0.5236 (multiplicity 1)  6 O 1.92-2.10
O1 0.0980 0.7569 0.3184 (multiplicity 1)  1 W 1.92
O2 0.0998 0.5851 0.7974 (multiplicity 1)  1 W 2.03, 2 Fe 2.10-2.27, 1 Dy 2.23
O3 0.4548 0.1296 0.3305 (multiplicity 1)  1 W 2.04, 2 Fe 2.13-2.20
O4 0.5192 0.8782 0.8100 (multiplicity 1)  1 W 2.10, 2 Fe 2.12-2.21, 1 Dy 2.21
O5 0.8085 0.2997 0.7770 (multiplicity 1)  1 W 2.02, 1 Fe 2.05, 1 Dy 2.22
O6 0.8132 0.4156 0.3093 (multiplicity 1)  1 Fe 2.04, 1 W 2.06

Calculated values
The density of states at the Fermi level is 0.00 states/eV per cell. The calculation puts the total moment at 7.000 μB/f.u. The value obtained for the final energy is -7.442 eV/atom. The calculation puts the theoretical density at 7.3 g cm⁻³.